#1
Crystalline Pr2HoGa2 at its relaxed geometry, computed with PBE.

Cell: 4.715 6.504 9.938 Å, 82.57 76.28 68.75°
Fractional positions:
Pr: 0.310 0.278 0.102
Pr: 0.477 0.360 0.686
Pr: 0.690 0.722 0.898
Pr: 0.523 0.640 0.314
Ho: 0.793 0.055 0.359
Ho: 0.207 0.945 0.641
Ga: 0.961 0.169 0.909
Ga: 0.125 0.322 0.427
Ga: 0.039 0.831 0.091
Ga: 0.875 0.678 0.573

## Properties
- mass density (g cm⁻³) = 7.1
- DOS at the Fermi energy (states/eV per cell) = 8.20

#2
Crystalline Pr2HoGa2 at its relaxed geometry, computed with PBE.

Cell: 4.694 5.984 5.984 Å, 67.13 66.91 66.91°
Fractional positions:
Pr: 0.800 0.700 0.700
Pr: 0.200 0.300 0.300
Ho: 0.000 0.000 0.000
Ga: 0.500 0.704 0.296
Ga: 0.500 0.296 0.704

## Properties
- mass density (g cm⁻³) = 7.1
- DOS at the Fermi energy (states/eV per cell) = 5.69

Relative energies, in eV/atom, with the most stable structure set to zero: #1 0.013; #2 0.000.

#1
Crystalline PrHo2Ga6 at its relaxed geometry, computed with PBE.

Cell: 4.347 7.133 7.795 Å, 117.23 106.19 90.00°
Fractional positions:
Pr: 0.000 0.500 0.000
Ho: 0.873 0.873 0.747
Ho: 0.127 0.127 0.253
Ga: 0.685 0.880 0.370
Ga: 0.315 0.120 0.630
Ga: 0.315 0.511 0.630
Ga: 0.500 0.181 0.000
Ga: 0.500 0.819 0.000
Ga: 0.685 0.489 0.370

## Properties
- mass density (g cm⁻³) = 7.2
- DOS at the Fermi energy (states/eV per cell) = 3.93

#2
Crystalline PrHo2Ga6 at its relaxed geometry, computed with PBE.

Cell: 4.184 7.330 7.330 Å, 120.00 90.00 90.00°
Fractional positions:
Pr: 0.000 0.000 0.000
Ho: 0.000 0.333 0.667
Ho: 0.000 0.667 0.333
Ga: 0.500 0.335 0.335
Ga: 0.500 0.665 0.665
Ga: 0.500 0.000 0.665
Ga: 0.500 0.665 0.000
Ga: 0.500 0.335 0.000
Ga: 0.500 0.000 0.335

## Properties
- mass density (g cm⁻³) = 7.6
- DOS at the Fermi energy (states/eV per cell) = 5.77

Relative energies, in eV/atom, with the most stable structure set to zero: #1 0.148; #2 0.000.

#1
Crystalline Pr2HoGa6 at its relaxed geometry, computed with PBE.

Cell: 4.399 7.136 8.046 Å, 116.32 105.86 90.00°
Fractional positions:
Pr: 0.868 0.868 0.737
Pr: 0.132 0.132 0.263
Ho: 0.000 0.500 0.000
Ga: 0.675 0.859 0.349
Ga: 0.325 0.141 0.651
Ga: 0.325 0.510 0.651
Ga: 0.500 0.193 0.000
Ga: 0.500 0.807 0.000
Ga: 0.675 0.490 0.349

## Properties
- mass density (g cm⁻³) = 6.7
- DOS at the Fermi energy (states/eV per cell) = 5.80

#2
Crystalline Pr2HoGa6 at its relaxed geometry, computed with PBE.

Cell: 4.272 7.384 7.384 Å, 120.00 90.00 90.00°
Fractional positions:
Pr: 0.000 0.333 0.667
Pr: 0.000 0.667 0.333
Ho: 0.000 0.000 0.000
Ga: 0.500 0.332 0.332
Ga: 0.500 0.668 0.668
Ga: 0.500 0.000 0.668
Ga: 0.500 0.668 0.000
Ga: 0.500 0.332 0.000
Ga: 0.500 0.000 0.332

## Properties
- mass density (g cm⁻³) = 7.1
- DOS at the Fermi energy (states/eV per cell) = 5.65

Relative energies, in eV/atom, with the most stable structure set to zero: #1 0.249; #2 0.000.

#1
Crystalline HoGa2Pt6 at its relaxed geometry, computed with PBE.

Cell: 3.827 6.726 6.726 Å, 115.33 90.00 90.00°
Fractional positions:
Ho: 0.500 0.117 0.117
Ga: 0.000 0.538 0.283
Ga: 0.000 0.283 0.538
Pt: 0.500 0.536 0.536
Pt: 0.500 0.590 0.975
Pt: 0.500 0.975 0.590
Pt: 0.000 0.820 0.820
Pt: 0.000 0.253 0.888
Pt: 0.000 0.888 0.253

## Properties
- mass density (g cm⁻³) = 15.6
- DOS at the Fermi energy (states/eV per cell) = 4.11

#2
Crystalline HoGa2Pt6 at its relaxed geometry, computed with PBE.

Cell: 4.774 4.774 8.965 Å, 90.00 90.00 120.00°
Fractional positions:
Ho: 0.000 0.000 0.000
Ga: 0.333 0.667 0.500
Ga: 0.667 0.333 0.500
Pt: 0.659 0.000 0.261
Pt: 0.341 0.341 0.261
Pt: 0.000 0.659 0.261
Pt: 0.659 0.659 0.739
Pt: 0.000 0.341 0.739
Pt: 0.341 0.000 0.739

## Properties
- mass density (g cm⁻³) = 13.8
- DOS at the Fermi energy (states/eV per cell) = 4.13

Relative energies, in eV/atom, with the most stable structure set to zero: #1 0.000; #2 0.104.

#1
Crystalline HoGa2Pt4 at its relaxed geometry, computed with PBE.

Cell: 4.211 7.198 16.249 Å, 90.00 90.00 90.00°
Fractional positions:
Pt: 0.250 0.179 0.714
Pt: 0.750 0.821 0.286
Pt: 0.750 0.679 0.786
Pt: 0.250 0.321 0.214
Pt: 0.250 0.608 0.673
Pt: 0.750 0.392 0.327
Pt: 0.750 0.108 0.827
Pt: 0.250 0.892 0.173
Pt: 0.250 0.101 0.545
Pt: 0.750 0.899 0.455
Pt: 0.750 0.601 0.955
Pt: 0.250 0.399 0.045
Pt: 0.250 0.443 0.445
Pt: 0.750 0.557 0.555
Pt: 0.750 0.943 0.055
Pt: 0.250 0.057 0.945
Ho: 0.750 0.934 0.648
Ho: 0.250 0.066 0.352
Ho: 0.250 0.434 0.852
Ho: 0.750 0.566 0.148
Ga: 0.250 0.751 0.522
Ga: 0.750 0.249 0.478
Ga: 0.750 0.251 0.978
Ga: 0.250 0.749 0.022
Ga: 0.250 0.878 0.808
Ga: 0.750 0.122 0.192
Ga: 0.750 0.378 0.692
Ga: 0.250 0.622 0.308

## Properties
- mass density (g cm⁻³) = 14.6
- DOS at the Fermi energy (states/eV per cell) = 11.78

#2
Crystalline HoGa2Pt4 at its relaxed geometry, computed with PBE.

Cell: 3.975 7.839 7.839 Å, 90.00 90.00 90.00°
Fractional positions:
Ho: 0.500 0.000 0.000
Ho: 0.000 0.500 0.500
Ga: 0.000 0.225 0.775
Ga: 0.000 0.775 0.225
Ga: 0.500 0.725 0.725
Ga: 0.500 0.275 0.275
Pt: 0.000 0.077 0.328
Pt: 0.000 0.923 0.672
Pt: 0.500 0.172 0.577
Pt: 0.500 0.828 0.423
Pt: 0.500 0.423 0.828
Pt: 0.500 0.577 0.172
Pt: 0.000 0.328 0.077
Pt: 0.000 0.672 0.923

## Properties
- mass density (g cm⁻³) = 14.7
- DOS at the Fermi energy (states/eV per cell) = 5.82

Relative energies, in eV/atom, with the most stable structure set to zero: #1 0.000; #2 0.014.

#1
Crystalline HoGaPt3 at its relaxed geometry, computed with PBE.

Cell: 5.099 5.995 6.576 Å, 90.00 90.00 90.00°
Fractional positions:
Ho: 0.500 0.000 0.000
Ho: 0.500 0.500 0.500
Ga: 0.000 0.500 0.000
Ga: 0.000 0.000 0.500
Pt: 0.500 0.500 0.000
Pt: 0.500 0.000 0.500
Pt: 0.000 0.638 0.342
Pt: 0.000 0.138 0.158
Pt: 0.000 0.362 0.658
Pt: 0.000 0.862 0.842

## Properties
- mass density (g cm⁻³) = 13.5
- DOS at the Fermi energy (states/eV per cell) = 2.09

#2
Crystalline HoGaPt3 at its relaxed geometry, computed with PBE.

Cell: 7.474 4.458 5.677 Å, 90.00 90.01 90.00°
Fractional positions:
Ho: 0.435 0.257 0.299
Ho: 0.935 0.095 0.799
Ga: 0.856 0.505 0.300
Ga: 0.356 0.847 0.800
Pt: 0.536 0.310 0.799
Pt: 0.648 0.802 0.053
Pt: 0.148 0.551 0.553
Pt: 0.036 0.043 0.299
Pt: 0.147 0.551 0.045
Pt: 0.647 0.802 0.545

## Properties
- mass density (g cm⁻³) = 14.4
- DOS at the Fermi energy (states/eV per cell) = 3.74

Relative energies, in eV/atom, with the most stable structure set to zero: #1 0.276; #2 0.000.

#1
Crystalline HoThGaPt at its relaxed geometry, computed with PBE.

Cell: 5.103 5.103 5.103 Å, 60.00 60.00 60.00°
Fractional positions:
Ga: 0.250 0.250 0.250
Pt: 0.750 0.750 0.750
Th: 0.000 0.000 0.000
Ho: 0.500 0.500 0.500

## Properties
- mass density (g cm⁻³) = 11.7
- DOS at the Fermi energy (states/eV per cell) = 3.64

#2
Crystalline HoThGaPt at its relaxed geometry, computed with PBE.

Cell: 4.012 4.466 5.724 Å, 90.00 110.51 90.00°
Fractional positions:
Ho: 0.138 0.000 0.276
Th: 0.856 0.500 0.712
Ga: 0.424 0.000 0.849
Pt: 0.581 0.500 0.163

## Properties
- mass density (g cm⁻³) = 11.4
- DOS at the Fermi energy (states/eV per cell) = 3.79

Relative energies, in eV/atom, with the most stable structure set to zero: #1 0.136; #2 0.000.

#1
Crystalline HoTmGaPt at its relaxed geometry, computed with PBE.

Cell: 3.727 4.429 5.714 Å, 90.00 109.03 90.00°
Fractional positions:
Ho: 0.143 0.000 0.286
Tm: 0.858 0.500 0.716
Ga: 0.422 0.000 0.843
Pt: 0.578 0.500 0.155

## Properties
- mass density (g cm⁻³) = 11.2
- DOS at the Fermi energy (states/eV per cell) = 2.64

#2
Crystalline HoTmGaPt at its relaxed geometry, computed with PBE.

Cell: 4.960 4.960 4.960 Å, 60.00 60.00 60.00°
Fractional positions:
Ga: 0.500 0.500 0.500
Tm: 0.750 0.750 0.750
Ho: 0.250 0.250 0.250
Pt: 0.000 0.000 0.000

## Properties
- mass density (g cm⁻³) = 11.5
- DOS at the Fermi energy (states/eV per cell) = 3.28

Relative energies, in eV/atom, with the most stable structure set to zero: #1 0.000; #2 0.064.

#1
Crystalline YHoGaPt at its relaxed geometry, computed with PBE.

Cell: 3.771 4.417 5.794 Å, 90.00 108.99 90.00°
Fractional positions:
Y: 0.857 0.500 0.713
Ho: 0.141 0.000 0.283
Ga: 0.423 0.000 0.847
Pt: 0.579 0.500 0.157

## Properties
- mass density (g cm⁻³) = 9.4
- DOS at the Fermi energy (states/eV per cell) = 3.05

#2
Crystalline YHoGaPt at its relaxed geometry, computed with PBE.

Cell: 5.000 5.000 5.000 Å, 60.00 60.00 60.00°
Fractional positions:
Y: 0.500 0.500 0.500
Ga: 0.250 0.250 0.250
Ho: 0.000 0.000 0.000
Pt: 0.750 0.750 0.750

## Properties
- mass density (g cm⁻³) = 9.7
- DOS at the Fermi energy (states/eV per cell) = 3.05

Relative energies, in eV/atom, with the most stable structure set to zero: #1 0.000; #2 0.078.

#1
Crystalline HoPuGa at its relaxed geometry, computed with PBE.

Cell: 3.577 3.577 6.402 Å, 106.22 106.22 90.00°
Site moments in Bohr magnetons follow the coordinates.
Fractional positions:
Ho: 0.637 0.637 0.275  0.30
Ga: 0.281 0.281 0.562  -0.01
Pu: 0.932 0.932 0.863  5.55

## Properties
- mass density (g cm⁻³) = 10.6
- DOS at the Fermi energy (states/eV per cell) = 6.82

#2
Crystalline HoPuGa at its relaxed geometry, computed with PBE.

Cell: 7.704 7.704 7.704 Å, 60.00 60.00 60.00°
Site moments in Bohr magnetons follow the coordinates.
Fractional positions:
Ga: 0.313 0.896 0.896  0.03
Ga: 0.896 0.896 0.896  0.03
Ga: 0.896 0.313 0.896  0.03
Ga: 0.896 0.896 0.313  0.03
Ho: 0.619 0.142 0.619  0.14
Ho: 0.142 0.619 0.619  0.14
Ho: 0.619 0.619 0.142  0.14
Ho: 0.619 0.619 0.619  0.14
Pu: 0.544 0.152 0.152  5.58
Pu: 0.152 0.544 0.152  5.58
Pu: 0.152 0.152 0.152  5.58
Pu: 0.152 0.152 0.544  5.58

## Properties
- mass density (g cm⁻³) = 9.8
- DOS at the Fermi energy (states/eV per cell) = 31.32

Relative energies, in eV/atom, with the most stable structure set to zero: #1 0.000; #2 0.226.